The following is a PBE-GGA calculation of an optimized crystal structure of Tl2TcBiPb, from the Alexandria database.

CIF file:
```
data_Tl2TcBiPb
_cell_length_a 5.3998
_cell_length_b 5.3998
_cell_length_c 5.2937
_cell_angle_alpha 90.00
_cell_angle_beta 90.00
_cell_angle_gamma 90.00
_symmetry_space_group_name_H-M 'P 4/m m m'
_symmetry_Int_Tables_number 123
_symmetry_space_group_name_Hall '-P 4 2'
loop_
_atom_site_label
_atom_site_type_symbol
_atom_site_fract_x
_atom_site_fract_y
_atom_site_fract_z
_atom_site_occupancy
Tl1 Tl 0.0000 0.5000 0.0000 1
Tc1 Tc 0.0000 0.0000 0.0000 1
Bi1 Bi 0.0000 0.0000 0.5000 1
Pb1 Pb 0.5000 0.5000 0.5000 1
```

- Volume: 154.35 Å³/cell
- E_form: 0.490 eV per atom

The following is a PBE-GGA calculation of an optimized crystal structure of BiTe2Pb3, from the Alexandria database.

CIF file:
```
data_BiTe2Pb3
_cell_length_a 14.8836
_cell_length_b 6.4374
_cell_length_c 9.2122
_cell_angle_alpha 90.00
_cell_angle_beta 107.97
_cell_angle_gamma 90.00
_symmetry_space_group_name_H-M 'C 1 2/c 1'
_symmetry_Int_Tables_number 15
_symmetry_space_group_name_Hall '-C 2yc'
loop_
_atom_site_label
_atom_site_type_symbol
_atom_site_fract_x
_atom_site_fract_y
_atom_site_fract_z
_atom_site_occupancy
Bi1 Bi 0.0000 0.0025 0.2500 1
Te1 Te 0.1648 0.4989 0.0822 1
Pb1 Pb 0.0000 0.4975 0.7500 1
Pb2 Pb 0.1658 0.0011 0.5829 1
```

- Volume: 839.56 Å³/cell
- Uncorrected formation energy: -189 meV per atom

The following is a PBE-GGA calculation of an optimized crystal structure of Bi2TePb, from the Alexandria database.

CIF file:
```
data_Bi2TePb
_cell_length_a 7.8986
_cell_length_b 7.8986
_cell_length_c 7.8986
_cell_angle_alpha 90.00
_cell_angle_beta 90.00
_cell_angle_gamma 90.00
_symmetry_space_group_name_H-M 'F m -3 m'
_symmetry_Int_Tables_number 225
_symmetry_space_group_name_Hall '-F 4 2 3'
loop_
_atom_site_label
_atom_site_type_symbol
_atom_site_fract_x
_atom_site_fract_y
_atom_site_fract_z
_atom_site_occupancy
Bi1 Bi 0.2500 0.2500 0.2500 1
Te1 Te 0.0000 0.0000 0.0000 1
Pb1 Pb 0.0000 0.0000 0.5000 1
```

- Volume: 492.78 Å³/cell
- E above lowest polymorph: 0 meV per atom
- Uncorrected formation energy: 111 meV per atom

The following is a PBE-GGA calculation of an optimized crystal structure of Bi3Te5Pb, from the Alexandria database.

CIF file:
```
data_Bi3Te5Pb
_cell_length_a 4.6176
_cell_length_b 4.6176
_cell_length_c 17.4379
_cell_angle_alpha 90.00
_cell_angle_beta 90.00
_cell_angle_gamma 120.00
_symmetry_space_group_name_H-M 'P 3 m 1'
_symmetry_Int_Tables_number 156
_symmetry_space_group_name_Hall 'P 3 -2"'
loop_
_atom_site_label
_atom_site_type_symbol
_atom_site_fract_x
_atom_site_fract_y
_atom_site_fract_z
_atom_site_occupancy
Bi1 Bi 0.0000 0.0000 0.0000 1
Bi2 Bi 0.3333 0.6667 0.4378 1
Bi3 Bi 0.6667 0.3333 0.2204 1
Te1 Te 0.0000 0.0000 0.3253 1
Te2 Te 0.3333 0.6667 0.1217 1
Te3 Te 0.3333 0.6667 0.7615 1
Te4 Te 0.6667 0.3333 0.5296 1
Te5 Te 0.6667 0.3333 0.9108 1
Pb1 Pb 0.0000 0.0000 0.6715 1
```

- Volume: 321.99 Å³/cell
- Uncorrected formation energy: -204 meV per atom

The following is a PBE-GGA calculation of an optimized crystal structure of BiTe4Pb3, from the Alexandria database.

CIF file:
```
data_BiTe4Pb3
_cell_length_a 6.5696
_cell_length_b 12.9758
_cell_length_c 6.5719
_cell_angle_alpha 90.00
_cell_angle_beta 90.00
_cell_angle_gamma 90.00
_symmetry_space_group_name_H-M 'P m m n'
_symmetry_Int_Tables_number 59
loop_
_symmetry_equiv_pos_as_xyz
'x,y,z'
'-x,-y,-z'
'-x+1/2,-y+1/2,z'
'x+1/2,y+1/2,-z'
'x+1/2,-y,-z'
'-x+1/2,y,z'
'-x,y+1/2,-z'
'x,-y+1/2,z'
loop_
_atom_site_label
_atom_site_type_symbol
_atom_site_fract_x
_atom_site_fract_y
_atom_site_fract_z
_atom_site_occupancy
Bi1 Bi 0.2500 0.2500 0.2477 1
Te1 Te 0.2500 0.0056 0.2496 1
Te2 Te 0.2500 0.2500 0.7471 1
Te3 Te 0.2500 0.7500 0.7519 1
Pb1 Pb 0.2500 0.0001 0.7496 1
Pb2 Pb 0.2500 0.7500 0.2519 1
```

- Volume: 560.22 Å³/cell
- E above lowest polymorph: 0 meV per atom
- Uncorrected formation energy: -308 meV per atom

The following is a PBE-GGA calculation of an optimized crystal structure of BiTePb3, from the Alexandria database.

CIF file:
```
data_BiTePb3
_cell_length_a 4.5131
_cell_length_b 6.6589
_cell_length_c 11.9210
_cell_angle_alpha 98.36
_cell_angle_beta 100.88
_cell_angle_gamma 91.45
_symmetry_space_group_name_H-M 'P -1'
_symmetry_Int_Tables_number 2
_symmetry_space_group_name_Hall '-P 1'
loop_
_atom_site_label
_atom_site_type_symbol
_atom_site_fract_x
_atom_site_fract_y
_atom_site_fract_z
_atom_site_occupancy
Bi1 Bi 0.0761 0.1271 0.1856 1
Te1 Te 0.2898 0.2715 0.5996 1
Pb1 Pb 0.1117 0.6163 0.2069 1
Pb2 Pb 0.3156 0.7577 0.6076 1
Pb3 Pb 0.4909 0.2474 0.0141 1
```

- Volume: 347.56 Å³/cell
- E above lowest polymorph: 0 meV per atom
- Uncorrected formation energy: -81 meV per atom